(1)
NdErAu2 (GGA-PBE, optimized geometry); V = 24.39 Å³/atom; energy of formation from the pure elements = -3.341 eV per formula unit; mass density = 12005 kg/m³; space group = Amm2, No. 38
1.0
4.701 0.000 0.000
0.000 1.876 5.534
0.000 -1.876 5.534
Nd Er Au
1 1 2
Direct
0.000 0.000 0.000 Nd
0.500 0.721 0.721 Er
0.000 0.271 0.271 Au
0.500 0.449 0.449 Au


(2)
NdErAu (GGA-PBE, optimized geometry); V = 28.22 Å³/atom; energy of formation from the pure elements = 0.565 eV per formula unit; mass density = 9973 kg/m³; space group = F-43m, No. 216
1.0
0.000 3.485 3.485
3.485 0.000 3.485
3.485 3.485 0.000
Nd Er Au
1 1 1
Direct
0.000 0.000 0.000 Nd
0.250 0.250 0.250 Er
0.750 0.750 0.750 Au


(3)
ErNiAu (GGA-PBE, optimized geometry); V = 22.63 Å³/atom; energy of formation from the pure elements = -0.235 eV per formula unit; mass density = 10346 kg/m³; space group = F-43m, No. 216
1.0
0.000 3.238 3.238
3.238 0.000 3.238
3.238 3.238 0.000
Er Ni Au
1 1 1
Direct
0.000 0.000 0.000 Er
0.250 0.250 0.250 Ni
0.750 0.750 0.750 Au


(4)
ErNiAu (GGA-PBE, optimized geometry); V = 20.24 Å³/atom; energy of formation from the pure elements = -1.475 eV per formula unit; mass density = 11564 kg/m³; space group = F-43m, No. 216
1.0
0.000 3.120 3.120
3.120 0.000 3.120
3.120 3.120 0.000
Er Ni Au
1 1 1
Direct
0.000 0.000 0.000 Er
0.750 0.750 0.750 Ni
0.500 0.500 0.500 Au


(5)
Er2TmZn3NiAu2 (GGA-PBE, optimized geometry); V = 19.54 Å³/atom; energy of formation from the pure elements = -5.640 eV per formula unit; mass density = 10878 kg/m³; space group = Amm2, No. 38
1.0
3.886 0.000 0.000
0.000 6.257 3.618
0.000 -6.257 3.618
Er Tm Zn Ni Au
2 1 3 1 2
Direct
0.000 0.198 0.802 Er
0.000 0.802 0.198 Er
0.000 0.406 0.406 Tm
0.500 0.032 0.032 Zn
0.500 0.571 0.802 Zn
0.500 0.802 0.571 Zn
0.000 0.801 0.801 Ni
0.500 0.136 0.468 Au
0.500 0.468 0.136 Au


(6)
ErTm2Zn3NiAu2 (GGA-PBE, optimized geometry); V = 19.42 Å³/atom; energy of formation from the pure elements = -5.645 eV per formula unit; mass density = 10961 kg/m³; space group = Amm2, No. 38
1.0
3.885 0.000 0.000
0.000 6.245 3.603
0.000 -6.245 3.603
Er Tm Zn Ni Au
1 2 3 1 2
Direct
0.000 0.000 0.000 Er
0.000 0.210 0.604 Tm
0.000 0.604 0.210 Tm
0.500 0.373 0.373 Zn
0.500 0.604 0.835 Zn
0.500 0.835 0.604 Zn
0.000 0.603 0.603 Ni
0.500 0.272 0.937 Au
0.500 0.937 0.272 Au


(7)
ErNpAu (GGA-PBE, optimized geometry); V = 25.96 Å³/atom; energy of formation from the pure elements = 1.618 eV per formula unit; mass density = 12821 kg/m³; space group = F-43m, No. 216
1.0
0.000 3.389 3.389
3.389 0.000 3.389
3.389 3.389 0.000
Er Np Au
1 1 1
Direct
0.000 0.000 0.000 Er
0.250 0.250 0.250 Np
0.750 0.750 0.750 Au


(8)
ErAu2O4 (GGA-PBE, optimized geometry); V = 12.63 Å³/atom; mass density = 11745 kg/m³; E_tot = -79.95 eV/cell; space group = C2/c, No. 15
1.0
4.125 -4.995 0.000
4.125 4.995 0.000
-4.054 0.000 4.289
Er Au O
2 4 8
Direct
0.125 0.875 0.750 Er
0.875 0.125 0.250 Er
0.000 0.500 0.000 Au
0.500 0.000 0.500 Au
0.500 0.500 0.000 Au
0.500 0.500 0.500 Au
0.104 0.244 0.076 O
0.141 0.511 0.756 O
0.244 0.104 0.576 O
0.489 0.859 0.744 O
0.511 0.141 0.256 O
0.756 0.896 0.424 O
0.859 0.489 0.244 O
0.896 0.756 0.924 O


(9)
Er2Au2O5 (GGA-PBE, optimized geometry); V = 13.34 Å³/atom; mass density = 11182 kg/m³; distance to the lowest polymorph of the same formula = 27.14 kJ per mole of atoms; space group = P4/mmm, No. 123
1.0
4.165 0.000 0.000
0.000 4.165 0.000
0.000 0.000 6.920
Er Au O
2 2 5
Direct
0.000 0.000 0.000 Er
0.000 0.000 0.500 Er
0.500 0.500 0.191 Au
0.500 0.500 0.809 Au
0.000 0.500 0.224 O
0.000 0.500 0.776 O
0.500 0.000 0.224 O
0.500 0.000 0.776 O
0.500 0.500 0.500 O


(10)
Er2Au2O5 (GGA-PBE, optimized geometry); V = 15.09 Å³/atom; mass density = 9883 kg/m³; distance to the lowest polymorph of the same formula = 0.00 kJ per mole of atoms; space group = P4/mmm, No. 123
1.0
3.951 0.000 0.000
0.000 3.951 0.000
0.000 0.000 8.704
Er Au O
2 2 5
Direct
0.000 0.000 0.247 Er
0.000 0.000 0.753 Er
0.500 0.500 0.000 Au
0.500 0.500 0.500 Au
0.000 0.000 0.000 O
0.000 0.500 0.349 O
0.000 0.500 0.651 O
0.500 0.000 0.349 O
0.500 0.000 0.651 O


(11)
ErPAuO (GGA-PBE, optimized geometry); V = 20.50 Å³/atom; mass density = 8327 kg/m³; distance to the lowest polymorph of the same formula = 30.43 kJ per mole of atoms; space group = Pmc2_1, No. 26
1.0
3.756 0.000 0.000
0.000 7.369 0.000
0.000 0.000 5.926
Er P Au O
2 2 2 2
Direct
0.000 0.219 0.000 Er
0.000 0.781 0.500 Er
0.000 0.157 0.503 P
0.000 0.843 0.003 P
0.500 0.347 0.518 Au
0.500 0.653 0.018 Au
0.500 0.344 0.017 O
0.500 0.656 0.517 O


(12)
ErPAuO (GGA-PBE, optimized geometry); V = 17.86 Å³/atom; mass density = 9558 kg/m³; distance to the lowest polymorph of the same formula = 40.37 kJ per mole of atoms; space group = Pmc2_1, No. 26
1.0
4.307 0.000 0.000
0.000 5.982 0.000
0.000 0.000 5.545
Er P Au O
2 2 2 2
Direct
0.000 0.240 0.000 Er
0.000 0.760 0.500 Er
0.500 0.039 0.721 P
0.500 0.961 0.221 P
0.500 0.354 0.411 Au
0.500 0.646 0.911 Au
0.000 0.456 0.309 O
0.000 0.544 0.809 O


(13)
ErPAuO (GGA-PBE, optimized geometry); V = 16.78 Å³/atom; mass density = 10174 kg/m³; distance to the lowest polymorph of the same formula = 0.00 kJ per mole of atoms; space group = P4/nmm, No. 129
1.0
4.001 0.000 0.000
0.000 4.001 0.000
0.000 0.000 8.386
Er P Au O
2 2 2 2
Direct
0.250 0.250 0.123 Er
0.750 0.750 0.877 Er
0.250 0.250 0.693 P
0.750 0.750 0.307 P
0.250 0.750 0.500 Au
0.750 0.250 0.500 Au
0.250 0.750 0.000 O
0.750 0.250 0.000 O